A.
Computed, not measured: a relaxed NaBiSe3 crystal at the PBE-GGA level of DFT.

Calculated values
D(E_F) (states/eV per atom): 1.089
Density (Mg/m³): 5.80

Structure (CIF):
```
data_NaBiSe3
_chemical_formula_sum 'Na1 Bi1 Se3'
_cell_length_a 5.119
_cell_length_b 5.119
_cell_length_c 5.119
_cell_angle_alpha 90.00
_cell_angle_beta 90.00
_cell_angle_gamma 90.00
_space_group_name_H-M_alt 'P 1'
_space_group_IT_number 1
loop_
_space_group_symop_operation_xyz
'x,y,z'
loop_
_atom_site_label
_atom_site_type_symbol
_atom_site_fract_x
_atom_site_fract_y
_atom_site_fract_z
Na1 Na 0.000 0.000 0.000
Bi1 Bi 0.500 0.500 0.500
Se1 Se 0.000 0.500 0.000
Se2 Se 0.000 0.000 0.500
Se3 Se 0.500 0.000 0.000
```

=====

B.
Computed, not measured: a relaxed NaBiSe3 crystal at the PBE-GGA level of DFT.

Calculated values
D(E_F) (states/eV per atom): 1.130
Density (Mg/m³): 4.50

Structure (CIF):
```
data_NaBiSe3
_chemical_formula_sum 'Na1 Bi1 Se3'
_cell_length_a 5.573
_cell_length_b 5.573
_cell_length_c 5.573
_cell_angle_alpha 90.00
_cell_angle_beta 90.00
_cell_angle_gamma 90.00
_space_group_name_H-M_alt 'P 1'
_space_group_IT_number 1
loop_
_space_group_symop_operation_xyz
'x,y,z'
loop_
_atom_site_label
_atom_site_type_symbol
_atom_site_fract_x
_atom_site_fract_y
_atom_site_fract_z
Na1 Na 0.500 0.500 0.500
Bi1 Bi 0.000 0.000 0.000
Se1 Se 0.000 0.500 0.000
Se2 Se 0.000 0.000 0.500
Se3 Se 0.500 0.000 0.000
```

=====

So which one is most stable? That would be B, about 486 meV per atom below the next structure.